# 1
Ti6FeRu5: relaxed, PBE.

Calculated total energy, eV for the cell shown: -110.6
DOS at the Fermi energy, states/eV/cell: 2.7
Energy of formation, eV per atom: -0.70

abc: 4.344 6.125 7.499
angles: 114.10 106.90 90.00
Positions (direct):
1 Ru 0.666 0.166 0.332
2 Ru 0.333 0.333 0.667
3 Ru 0.000 0.500 0.000
4 Ru 0.667 0.667 0.333
5 Ru 0.334 0.834 0.668
6 Fe 0.000 0.000 0.000
7 Ti 0.835 0.587 0.670
8 Ti 0.835 0.083 0.670
9 Ti 0.500 0.754 0.000
10 Ti 0.500 0.246 0.000
11 Ti 0.165 0.917 0.330
12 Ti 0.165 0.413 0.330

# 2
TiFeRu2: relaxed, PBE.

Calculated total energy, eV for the cell shown: -66.7
DOS at the Fermi energy, states/eV/cell: 11.0
Energy of formation, eV per atom: 0.39

abc: 3.760 3.760 8.933
angles: 77.85 77.85 90.00
Last column: magnetic moment on the atom in μB.
Positions (direct):
1 Ru 0.651 0.125 0.250  -0.09
2 Ru 0.099 0.625 0.250  -0.09
3 Ru 0.375 0.349 0.750  -0.09
4 Ru 0.875 0.901 0.750  -0.09
5 Fe 0.000 0.000 0.000  1.69
6 Fe 0.750 0.250 0.500  1.69
7 Ti 0.500 0.500 0.000  -0.26
8 Ti 0.250 0.750 0.500  -0.26

# 3
Ti2FeRu: relaxed, PBE.

Calculated total energy, eV for the cell shown: -32.2
DOS at the Fermi energy, states/eV/cell: 3.8
Energy of formation, eV per atom: 0.33

abc: 5.499 5.499 5.499
angles: 58.48 151.21 130.27
Last column: magnetic moment on the atom in μB.
Positions (direct):
1 Ti 0.000 0.250 0.250  0.14
2 Ti 0.000 0.750 0.750  0.14
3 Fe 0.000 0.000 0.000  -2.19
4 Ru 0.000 0.500 0.500  -0.02

# 4
TiFeRu2: relaxed, PBE.

Calculated total energy, eV for the cell shown: -36.1
DOS at the Fermi energy, states/eV/cell: 3.2
Energy of formation, eV per atom: -0.30

abc: 3.069 4.250 4.250
angles: 90.00 90.00 90.00
Last column: magnetic moment on the atom in μB.
Positions (direct):
1 Ru 0.000 0.000 0.500  0.38
2 Ru 0.000 0.500 0.000  0.38
3 Fe 0.500 0.500 0.500  2.79
4 Ti 0.500 0.000 0.000  -0.06

# 5
Ti6FeRu: relaxed, PBE.

Calculated total energy, eV for the cell shown: -67.2
DOS at the Fermi energy, states/eV/cell: 10.5
Energy of formation, eV per atom: -0.26

abc: 4.285 4.285 7.390
angles: 73.15 73.15 90.00
Positions (direct):
1 Ti 0.749 0.749 0.502
2 Ti 0.611 0.111 0.777
3 Ti 0.111 0.611 0.777
4 Ti 0.389 0.889 0.223
5 Ti 0.251 0.251 0.498
6 Ti 0.889 0.389 0.223
7 Fe 0.500 0.500 0.000
8 Ru 0.000 0.000 0.000

# 6
Ti3FeRu4: relaxed, PBE.

Calculated total energy, eV for the cell shown: -73.5
DOS at the Fermi energy, states/eV/cell: 2.8
Energy of formation, eV per atom: -0.53

abc: 3.075 3.075 12.141
angles: 90.00 90.00 90.00
Last column: magnetic moment on the atom in μB.
Positions (direct):
1 Ru 0.000 0.000 0.878  0.47
2 Ru 0.000 0.000 0.122  0.47
3 Ru 0.000 0.000 0.374  0.02
4 Ru 0.000 0.000 0.626  0.02
5 Fe 0.500 0.500 0.000  3.13
6 Ti 0.500 0.500 0.243  0.02
7 Ti 0.500 0.500 0.500  -0.01
8 Ti 0.500 0.500 0.757  0.02

# 7
TiFe4Ru: relaxed, PBE.

Calculated total energy, eV for the cell shown: -51.6
DOS at the Fermi energy, states/eV/cell: 8.6
Energy of formation, eV per atom: -0.10

abc: 4.736 4.736 4.736
angles: 60.00 60.00 60.00
Last column: magnetic moment on the atom in μB.
Positions (direct):
1 Ru 0.000 0.000 0.000  0.78
2 Fe 0.625 0.625 0.124  1.93
3 Fe 0.625 0.124 0.625  1.93
4 Fe 0.625 0.625 0.625  1.93
5 Fe 0.124 0.625 0.625  1.93
6 Ti 0.250 0.250 0.250  -0.37

# 8
TiFe2Ru: relaxed, PBE.

Calculated total energy, eV for the cell shown: -34.7
DOS at the Fermi energy, states/eV/cell: 2.9
Energy of formation, eV per atom: -0.15

abc: 4.219 4.219 4.219
angles: 60.00 60.00 60.00
Last column: magnetic moment on the atom in μB.
Positions (direct):
1 Ru 0.500 0.500 0.500  0.81
2 Fe 0.250 0.250 0.250  2.26
3 Fe 0.750 0.750 0.750  2.26
4 Ti 0.000 0.000 0.000  -0.77

# 9
Ti4FeRu: relaxed, PBE.

Calculated total energy, eV for the cell shown: -49.7
DOS at the Fermi energy, states/eV/cell: 6.3
Energy of formation, eV per atom: -0.06

abc: 4.413 4.415 6.613
angles: 70.48 70.51 60.02
Positions (direct):
1 Ti 0.630 0.630 0.110
2 Ti 0.370 0.370 0.890
3 Ti 0.119 0.119 0.642
4 Ti 0.881 0.881 0.358
5 Fe 0.000 0.000 0.000
6 Ru 0.500 0.500 0.500

# 10
TiFe2Ru: relaxed, PBE.

Calculated total energy, eV for the cell shown: -66.1
DOS at the Fermi energy, states/eV/cell: 6.8
Energy of formation, eV per atom: 0.26

abc: 3.494 3.494 9.650
angles: 79.57 79.57 90.00
Last column: magnetic moment on the atom in μB.
Positions (direct):
1 Ru 0.000 0.000 0.000  0.18
2 Ru 0.750 0.250 0.500  0.18
3 Fe 0.626 0.125 0.250  2.33
4 Fe 0.124 0.625 0.250  2.33
5 Fe 0.375 0.374 0.750  2.33
6 Fe 0.875 0.876 0.750  2.34
7 Ti 0.500 0.500 0.000  -0.28
8 Ti 0.250 0.750 0.500  -0.28

# 11
TiFe3Ru: relaxed, PBE.

Calculated total energy, eV for the cell shown: -36.3
DOS at the Fermi energy, states/eV/cell: 8.3
Energy of formation, eV per atom: 1.26

abc: 4.232 4.232 4.232
angles: 90.00 90.00 90.00
Last column: magnetic moment on the atom in μB.
Positions (direct):
1 Ru 0.500 0.500 0.500  1.47
2 Fe 0.000 0.500 0.000  2.11
3 Fe 0.000 0.000 0.500  2.03
4 Fe 0.500 0.000 0.000  2.20
5 Ti 0.000 0.000 0.000  -0.68

# 12
TiFeRu3: relaxed, PBE.

Calculated total energy, eV for the cell shown: -36.3
DOS at the Fermi energy, states/eV/cell: 9.7
Energy of formation, eV per atom: 1.57

abc: 4.432 4.432 4.432
angles: 90.00 90.00 90.00
Last column: magnetic moment on the atom in μB.
Positions (direct):
1 Ru 0.000 0.500 0.000  -0.18
2 Ru 0.000 0.000 0.500  -0.12
3 Ru 0.500 0.000 0.000  -0.20
4 Fe 0.500 0.500 0.500  0.22
5 Ti 0.000 0.000 0.000  0.03

# 13
Ti4Fe2Ru: relaxed, PBE.

Calculated total energy, eV for the cell shown: -59.6
DOS at the Fermi energy, states/eV/cell: 6.8
Energy of formation, eV per atom: -0.26

abc: 5.155 5.155 5.155
angles: 110.00 109.21 109.21
Positions (direct):
1 Ti 0.500 0.000 0.000
2 Ti 0.500 0.500 0.500
3 Ti 0.000 0.000 0.500
4 Ti 0.000 0.500 0.000
5 Fe 0.500 0.500 0.000
6 Fe 0.500 0.000 0.500
7 Ru 0.000 0.000 0.000